No. 1
Ca3HoNp3N8: relaxed, PBE.

The uncorrected energy is -0.6493 Ry/atom. The density of states at the Fermi level comes out at 38.7 states/eV/cell. The calculation puts the uncorrected formation energy at -1.10 eV per atom.

The structure belongs to space group R-3m (No. 166, hexagonal axes); the cell edges are 6.8999, 6.8999 and 17.0477 Å and the angles 90.00°, 90.00° and 120.00°. The asymmetric unit holds Ca at (0.0000, 0.5000, 0.0000), Ho at (0.0000, 0.0000, 0.5000), Np at (0.0000, 0.5000, 0.5000), N at (0.0000, 0.0000, 0.2422) and N at (0.0114, 0.5057, 0.7689).



No. 2
CaHoNO: relaxed, PBE.

The uncorrected energy is -0.5060 Ry/atom. The density of states at the Fermi level comes out at 0.1 states/eV/cell. The calculation puts the uncorrected formation energy at -1.92 eV per atom.

The structure belongs to space group Imm2 (No. 44); the cell edges are 3.114, 3.154 and 11.784 Å and the angles 90.00°, 90.00° and 90.00°. The asymmetric unit holds Ca at (0.000, 0.000, 0.000), Ho at (0.000, 0.500, 0.253), N at (0.000, 0.500, 0.828) and O at (0.000, 0.000, 0.592).



No. 3
CaHo2OsN4: relaxed, PBE.

The uncorrected energy is -0.5751 Ry/atom. The density of states at the Fermi level comes out at 6.2 states/eV/cell. The calculation puts the uncorrected formation energy at -0.86 eV per atom.

The structure belongs to space group Cmcm (No. 63); the cell edges are 3.429, 11.772 and 11.566 Å and the angles 90.00°, 90.00° and 90.00°. The asymmetric unit holds Ca at (0.000, 0.128, 0.250), Ho at (0.000, 0.368, 0.034), Os at (0.000, 0.140, 0.750), N at (0.000, 0.000, 0.000), N at (0.000, 0.257, 0.625) and N at (0.000, 0.436, 0.250).



No. 4
Ca4HoPa3N8: relaxed, PBE.

The uncorrected energy is -0.6039 Ry/atom. The density of states at the Fermi level comes out at 27.4 states/eV/cell. The calculation puts the uncorrected formation energy at -1.49 eV per atom.

The structure belongs to space group R-3m (No. 166, hexagonal axes); the cell edges are 7.0709, 7.0709 and 17.1032 Å and the angles 90.00°, 90.00° and 120.00°. The asymmetric unit holds Ca at (0.0000, 0.0000, 0.0000), Ca at (0.0000, 0.5000, 0.0000), Ho at (0.0000, 0.0000, 0.5000), Pa at (0.0000, 0.5000, 0.5000), N at (0.0000, 0.0000, 0.2388) and N at (0.0120, 0.5060, 0.7617).



No. 5
CaHo2PaN4: relaxed, PBE.

The uncorrected energy is -0.6126 Ry/atom. The density of states at the Fermi level comes out at 2.7 states/eV/cell. The calculation puts the uncorrected formation energy at -1.59 eV per atom.

The structure belongs to space group P2/m (No. 10); the cell edges are 5.971, 3.501 and 5.994 Å and the angles 90.00°, 108.55° and 90.00°. The asymmetric unit holds Ca at (0.000, 0.000, 0.000), Ho at (0.000, 0.500, 0.500), Ho at (0.500, 0.000, 0.500), Pa at (0.500, 0.500, 0.000), N at (0.260, 0.000, 0.751) and N at (0.276, 0.500, 0.246).



No. 6
Ca3HoPa2N6: relaxed, PBE.

The uncorrected energy is -0.5971 Ry/atom. The density of states at the Fermi level comes out at 10.1 states/eV/cell. The calculation puts the uncorrected formation energy at -1.50 eV per atom.

The structure belongs to space group C2/m (No. 12); the cell edges are 15.197, 3.553 and 7.022 Å and the angles 90.00°, 103.04° and 90.00°. The asymmetric unit holds Ca at (0.000, 0.000, 0.000), Ca at (0.164, 0.500, 0.332), Ho at (0.000, 0.000, 0.500), Pa at (0.164, 0.500, 0.826), N at (0.012, 0.500, 0.745), N at (0.163, 0.000, 0.606) and N at (0.175, 0.000, 0.060).



No. 7
CaHo2ReN4: relaxed, PBE.

The uncorrected energy is -0.5944 Ry/atom. The density of states at the Fermi level comes out at 7.4 states/eV/cell. The calculation puts the uncorrected formation energy at -0.97 eV per atom.

The structure belongs to space group Cmcm (No. 63); the cell edges are 3.385, 11.909 and 12.087 Å and the angles 90.00°, 90.00° and 90.00°. The asymmetric unit holds Ca at (0.000, 0.063, 0.250), Ho at (0.000, 0.372, 0.041), Re at (0.000, 0.188, 0.750), N at (0.000, 0.000, 0.000), N at (0.000, 0.261, 0.613) and N at (0.000, 0.412, 0.250).



No. 8
CaHo2RuN4: relaxed, PBE.

The uncorrected energy is -0.5605 Ry/atom. The density of states at the Fermi level comes out at 4.8 states/eV/cell. The calculation puts the uncorrected formation energy at -0.91 eV per atom.

The structure belongs to space group Cmcm (No. 63); the cell edges are 3.426, 11.729 and 11.566 Å and the angles 90.00°, 90.00° and 90.00°. The asymmetric unit holds Ca at (0.000, 0.128, 0.250), Ho at (0.000, 0.369, 0.035), Ru at (0.000, 0.141, 0.750), N at (0.000, 0.000, 0.000), N at (0.000, 0.257, 0.625) and N at (0.000, 0.435, 0.250).